Record 1
Rb2NiBiCl6 | PBE-GGA | relaxed

Unit cell a=7.3726 b=7.3726 c=10.4179 alpha=90.00 beta=90.00 gamma=90.00
Space group I4/mmm (No. 139)
Asymmetric unit:
Rb1 0.0000 0.5000 0.2500 x4
Ni1 0.0000 0.0000 0.0000 x2
Bi1 0.0000 0.0000 0.5000 x2
Cl1 0.0000 0.0000 0.2358 x4
Cl2 0.2361 0.2361 0.0000 x8

Formation energy (no corrections) (eV per atom): -1.2085
DOS at the Fermi energy (states/eV/atom): 0.356

***

Record 2
NiBiSCl2 | PBE-GGA | relaxed

Unit cell a=4.5431 b=4.5431 c=4.7789 alpha=90.00 beta=90.00 gamma=90.00
Space group P4/mmm (No. 123)
Asymmetric unit:
Ni1 0.0000 0.0000 0.0000 x1
Bi1 0.5000 0.5000 0.5000 x1
S1 0.0000 0.0000 0.5000 x1
Cl1 0.0000 0.5000 0.0000 x2

Formation energy (no corrections) (eV per atom): -0.1947
DOS at the Fermi energy (states/eV/atom): 0.531

***

Look up the DOS at the Fermi energy of the second one.
0.531 states/eV/atom

***

The highest DOS at the Fermi energy belongs to which entry?
NiBiSCl2

***

Which of these has the highest DOS at the Fermi energy?
NiBiSCl2

***

Number 1 is which compound?
Rb2NiBiCl6